# 1
Entry from the Alexandria database: OsPtC2 after structural relaxation (PBE).

Cell: 3.885 3.885 3.885 Å, 60.00 60.00 60.00°
Element x y z (fractional)
Os  0.000  0.000  0.000
C  0.750  0.750  0.750
C  0.250  0.250  0.250
Pt  0.500  0.500  0.500

Output
Crystal system   cubic



# 2
Entry from the Alexandria database: TaMnTc2 after structural relaxation (PBE).

Cell: 4.949 4.949 4.949 Å, 134.69 134.69 66.01°
Each line ends with the local moment (μB).
Element x y z (fractional)
Ta  0.750  0.250  0.500  -0.04
Tc  0.250  0.750  0.500  -0.10
Tc  0.000  0.000  0.000  -0.08
Mn  0.500  0.500  0.000  2.70

Output
Crystal system   tetragonal



DOS at the Fermi energy? In order: 2.86, 4.71 states/eV/f.u..
Formation enthalpy at 0 K? In order: 1.82, 0.05 eV/atom.
Total moment? In order: 0.0, 2.6 μB/f.u..